Record 1
Density functional theory data (PBE) for SrRh3O8 after structural relaxation.

```
data_SrRh3O8
_space_group_name_H-M_alt 'P -3'
_space_group_IT_number 147
_cell_length_a 5.4955
_cell_length_b 5.4955
_cell_length_c 6.1168
_cell_angle_alpha 90.00
_cell_angle_beta 90.00
_cell_angle_gamma 120.00
loop_
_space_group_symop_operation_xyz
'x,y,z'
'-x,-y,-z'
'-y,x-y,z'
'y,-x+y,-z'
'-x+y,-x,z'
'x-y,x,-z'
loop_
_atom_site_label
_atom_site_type_symbol
_atom_site_fract_x
_atom_site_fract_y
_atom_site_fract_z
Sr1 Sr 0.0000 0.0000 0.0000
Rh1 Rh 0.0000 0.0000 0.5000
Rh2 Rh 0.3333 0.6667 0.5535
O1 O 0.0651 0.3597 0.3551
O2 O 0.3333 0.6667 0.8542
```

Computed properties:
The volume comes out at 160 Å³ per cell. The value obtained for the energy relative to the elements, uncorrected is -0.75 eV per atom. The magnetic moment comes out at 0.91 μB per cell.



Record 2
Density functional theory data (PBE) for PtSeNF2 after structural relaxation.

```
data_PtSeNF2
_space_group_name_H-M_alt 'P 4/m m m'
_space_group_IT_number 123
_space_group_name_Hall '-P 4 2'
_cell_length_a 4.6015
_cell_length_b 4.6015
_cell_length_c 3.6968
_cell_angle_alpha 90.00
_cell_angle_beta 90.00
_cell_angle_gamma 90.00
loop_
_atom_site_label
_atom_site_type_symbol
_atom_site_fract_x
_atom_site_fract_y
_atom_site_fract_z
Pt1 Pt 0.0000 0.0000 0.0000
Se1 Se 0.5000 0.5000 0.5000
N1 N 0.0000 0.0000 0.5000
F1 F 0.0000 0.5000 0.0000
```

Computed properties:
The volume comes out at 78 Å³ per cell. The value obtained for the energy relative to the elements, uncorrected is 0.28 eV per atom. The magnetic moment comes out at 2.54 μB per cell. The relative energy among the computed polymorphs comes out at 0 meV per atom.



Record 3
Density functional theory data (PBE) for AlOs3 after structural relaxation.

```
data_AlOs3
_space_group_name_H-M_alt 'I 4/m m m'
_space_group_IT_number 139
_space_group_name_Hall '-I 4 2'
_cell_length_a 3.8677
_cell_length_b 3.8677
_cell_length_c 15.3236
_cell_angle_alpha 90.00
_cell_angle_beta 90.00
_cell_angle_gamma 90.00
loop_
_atom_site_label
_atom_site_type_symbol
_atom_site_fract_x
_atom_site_fract_y
_atom_site_fract_z
Al1 Al 0.0000 0.0000 0.1218
Os1 Os 0.0000 0.0000 0.3742
Os2 Os 0.0000 0.5000 0.0000
Os3 Os 0.0000 0.5000 0.2500
```

Computed properties:
The formation enthalpy at 0 K is 0.131 eV per atom. The volume comes out at 229 Å³ per cell. The magnetic moment comes out at 0.00 μB per cell.



Record 4
Density functional theory data (PBE) for BaHg2Au2 after structural relaxation.

```
data_BaHg2Au2
_space_group_name_H-M_alt 'I 4/m m m'
_space_group_IT_number 139
_space_group_name_Hall '-I 4 2'
_cell_length_a 4.6510
_cell_length_b 4.6510
_cell_length_c 12.7011
_cell_angle_alpha 90.00
_cell_angle_beta 90.00
_cell_angle_gamma 90.00
loop_
_atom_site_label
_atom_site_type_symbol
_atom_site_fract_x
_atom_site_fract_y
_atom_site_fract_z
Ba1 Ba 0.0000 0.0000 0.0000
Hg1 Hg 0.0000 0.5000 0.2500
Au1 Au 0.0000 0.0000 0.3921
```

Computed properties:
The formation enthalpy at 0 K is -0.458 eV per atom. The volume comes out at 275 Å³ per cell. The magnetic moment comes out at 0.00 μB per cell. The relative energy among the computed polymorphs comes out at 0 meV per atom.



Record 5
Density functional theory data (PBE) for LaCrSI2 after structural relaxation.

```
data_LaCrSI2
_space_group_name_H-M_alt 'P 4/m m m'
_space_group_IT_number 123
_space_group_name_Hall '-P 4 2'
_cell_length_a 6.5335
_cell_length_b 6.5335
_cell_length_c 4.2275
_cell_angle_alpha 90.00
_cell_angle_beta 90.00
_cell_angle_gamma 90.00
loop_
_atom_site_label
_atom_site_type_symbol
_atom_site_fract_x
_atom_site_fract_y
_atom_site_fract_z
La1 La 0.0000 0.0000 0.0000
Cr1 Cr 0.5000 0.5000 0.0000
S1 S 0.5000 0.5000 0.5000
I1 I 0.0000 0.5000 0.5000
```

Computed properties:
The volume comes out at 180 Å³ per cell. The value obtained for the energy relative to the elements, uncorrected is -0.08 eV per atom. The magnetic moment comes out at 3.96 μB per cell.



Record 6
Density functional theory data (PBE) for VGaMo after structural relaxation.

```
data_VGaMo
_space_group_name_H-M_alt 'F d d 2'
_space_group_IT_number 43
_space_group_name_Hall 'F 2 -2d'
_cell_length_a 9.2181
_cell_length_b 10.0729
_cell_length_c 7.8898
_cell_angle_alpha 90.00
_cell_angle_beta 90.00
_cell_angle_gamma 90.00
loop_
_atom_site_label
_atom_site_type_symbol
_atom_site_fract_x
_atom_site_fract_y
_atom_site_fract_z
V1 V 0.1093 0.3230 0.0000
Ga1 Ga 0.1030 0.3208 0.3423
Mo1 Mo 0.1099 0.3189 0.6809
```

Computed properties:
The formation enthalpy at 0 K is -0.044 eV per atom. The volume comes out at 733 Å³ per cell. The magnetic moment comes out at 0.00 μB per cell. The relative energy among the computed polymorphs comes out at 155 meV per atom.



Record 7
Density functional theory data (PBE) for Ca2PmPd after structural relaxation.

```
data_Ca2PmPd
_space_group_name_H-M_alt 'P 4/m m m'
_space_group_IT_number 123
_space_group_name_Hall '-P 4 2'
_cell_length_a 3.5914
_cell_length_b 3.5914
_cell_length_c 9.1498
_cell_angle_alpha 90.00
_cell_angle_beta 90.00
_cell_angle_gamma 90.00
loop_
_atom_site_label
_atom_site_type_symbol
_atom_site_fract_x
_atom_site_fract_y
_atom_site_fract_z
Ca1 Ca 0.0000 0.0000 0.1856
Pm1 Pm 0.5000 0.5000 0.5000
Pd1 Pd 0.5000 0.5000 0.0000
```

Computed properties:
The formation enthalpy at 0 K is -0.294 eV per atom. The volume comes out at 118 Å³ per cell. The magnetic moment comes out at 0.00 μB per cell. The relative energy among the computed polymorphs comes out at 94 meV per atom.



Record 8
Density functional theory data (PBE) for GaFeAsSe2 after structural relaxation.

```
data_GaFeAsSe2
_space_group_name_H-M_alt 'P 4/m m m'
_space_group_IT_number 123
_space_group_name_Hall '-P 4 2'
_cell_length_a 4.7795
_cell_length_b 4.7795
_cell_length_c 4.6684
_cell_angle_alpha 90.00
_cell_angle_beta 90.00
_cell_angle_gamma 90.00
loop_
_atom_site_label
_atom_site_type_symbol
_atom_site_fract_x
_atom_site_fract_y
_atom_site_fract_z
Ga1 Ga 0.0000 0.0000 0.0000
Fe1 Fe 0.5000 0.5000 0.5000
As1 As 0.0000 0.0000 0.5000
Se1 Se 0.0000 0.5000 0.0000
```

Computed properties:
The volume comes out at 107 Å³ per cell. The value obtained for the energy relative to the elements, uncorrected is 1.19 eV per atom. The magnetic moment comes out at 0.18 μB per cell. The relative energy among the computed polymorphs comes out at 922 meV per atom.



Record 9
Density functional theory data (PBE) for CaTl2Cr2 after structural relaxation.

```
data_CaTl2Cr2
_space_group_name_H-M_alt 'I 4/m m m'
_space_group_IT_number 139
_space_group_name_Hall '-I 4 2'
_cell_length_a 4.7247
_cell_length_b 4.7247
_cell_length_c 10.0066
_cell_angle_alpha 90.00
_cell_angle_beta 90.00
_cell_angle_gamma 90.00
loop_
_atom_site_label
_atom_site_type_symbol
_atom_site_fract_x
_atom_site_fract_y
_atom_site_fract_z
Ca1 Ca 0.0000 0.0000 0.0000
Tl1 Tl 0.0000 0.5000 0.2500
Cr1 Cr 0.0000 0.0000 0.4111
```

Computed properties:
The formation enthalpy at 0 K is 0.410 eV per atom. The volume comes out at 223 Å³ per cell. The magnetic moment comes out at 0.00 μB per cell. The relative energy among the computed polymorphs comes out at 0 meV per atom.



Q: Look up the magnetic moment of the ninth one.
A: 0.00 μB per cell



Please write out number 6 again, unchanged.
Density functional theory data (PBE) for VGaMo after structural relaxation.

```
data_VGaMo
_space_group_name_H-M_alt 'F d d 2'
_space_group_IT_number 43
_space_group_name_Hall 'F 2 -2d'
_cell_length_a 9.2181
_cell_length_b 10.0729
_cell_length_c 7.8898
_cell_angle_alpha 90.00
_cell_angle_beta 90.00
_cell_angle_gamma 90.00
loop_
_atom_site_label
_atom_site_type_symbol
_atom_site_fract_x
_atom_site_fract_y
_atom_site_fract_z
V1 V 0.1093 0.3230 0.0000
Ga1 Ga 0.1030 0.3208 0.3423
Mo1 Mo 0.1099 0.3189 0.6809
```

Computed properties:
The formation enthalpy at 0 K is -0.044 eV per atom. The volume comes out at 733 Å³ per cell. The magnetic moment comes out at 0.00 μB per cell. The relative energy among the computed polymorphs comes out at 155 meV per atom.



Q: Which formula does entry 3 have?
A: AlOs3